Computed, not measured: a relaxed TmCo4Rh crystal at the PBE-GGA level of DFT.

a = 4.872 Å, b = 4.872 Å, c = 4.872 Å
α = 60.00°, β = 60.00°, γ = 60.00°
Fractional coordinates of all 6 atoms:
Tm (0.000, 0.000, 0.000)
Co (0.125, 0.625, 0.625)
Co (0.625, 0.125, 0.625)
Co (0.625, 0.625, 0.125)
Co (0.625, 0.625, 0.625)
Rh (0.250, 0.250, 0.250)

Total DFT energy (no corrections), eV/atom: -6.88
Magnetization, μB per formula unit: 6.88
Volume, A^3/atom: 13.63

Computed, not measured: a relaxed Tm4Co2Rh crystal at the PBE-GGA level of DFT.

a = 7.215 Å, b = 7.215 Å, c = 8.364 Å
α = 125.41°, β = 125.41°, γ = 69.50°
Fractional coordinates of all 14 atoms:
Tm (0.046, 0.046, 0.245)
Tm (0.375, 0.533, 0.653)
Tm (0.463, 0.163, 0.873)
Tm (0.467, 0.625, 0.347)
Tm (0.584, 0.042, 0.255)
Tm (0.837, 0.537, 0.127)
Tm (0.954, 0.954, 0.755)
Tm (0.958, 0.416, 0.745)
Co (0.210, 0.290, 0.192)
Co (0.512, 0.092, 0.553)
Co (0.710, 0.790, 0.808)
Co (0.908, 0.488, 0.447)
Rh (0.140, 0.860, 0.500)
Rh (0.282, 0.718, 0.000)

Total DFT energy (no corrections), eV/atom: -6.00
Distance to the lowest polymorph of the same formula, meV per atom: 32
Magnetization, μB per formula unit: 0.00
Volume, A^3/atom: 20.65

Computed, not measured: a relaxed TmZnCoRh crystal at the PBE-GGA level of DFT.

a = 4.449 Å, b = 4.449 Å, c = 4.449 Å
α = 60.00°, β = 60.00°, γ = 60.00°
Fractional coordinates of all 4 atoms:
Tm (0.000, 0.000, 0.000)
Zn (0.500, 0.500, 0.500)
Co (0.750, 0.750, 0.750)
Rh (0.250, 0.250, 0.250)

Total DFT energy (no corrections), eV/atom: -5.42
Magnetization, μB per formula unit: 0.00
Volume, A^3/atom: 15.57

Computed, not measured: a relaxed TmZrCoRh crystal at the PBE-GGA level of DFT.

a = 4.656 Å, b = 4.656 Å, c = 4.656 Å
α = 60.00°, β = 60.00°, γ = 60.00°
Fractional coordinates of all 4 atoms:
Tm (0.000, 0.000, 0.000)
Zr (0.500, 0.500, 0.500)
Co (0.250, 0.250, 0.250)
Rh (0.750, 0.750, 0.750)

Total DFT energy (no corrections), eV/atom: -7.40
Distance to the lowest polymorph of the same formula, meV per atom: 47
Magnetization, μB per formula unit: 0.01
Volume, A^3/atom: 17.84

Computed, not measured: a relaxed TmZrCoRh crystal at the PBE-GGA level of DFT.

a = 3.264 Å, b = 3.264 Å, c = 6.698 Å
α = 90.00°, β = 90.00°, γ = 90.00°
Fractional coordinates of all 4 atoms:
Tm (0.000, 0.000, 0.000)
Zr (0.000, 0.000, 0.517)
Co (0.500, 0.500, 0.731)
Rh (0.500, 0.500, 0.271)

Total DFT energy (no corrections), eV/atom: -7.45
Distance to the lowest polymorph of the same formula, meV per atom: 0
Magnetization, μB per formula unit: 0.00
Volume, A^3/atom: 17.84

Computed, not measured: a relaxed UCoRh3 crystal at the PBE-GGA level of DFT.

a = 5.381 Å, b = 5.381 Å, c = 5.381 Å
α = 89.70°, β = 89.70°, γ = 89.70°
Fractional coordinates of all 10 atoms:
U (0.250, 0.250, 0.250)
U (0.750, 0.750, 0.750)
Co (0.000, 0.000, 0.000)
Co (0.500, 0.500, 0.500)
Rh (0.102, 0.750, 0.398)
Rh (0.250, 0.602, 0.898)
Rh (0.398, 0.102, 0.750)
Rh (0.602, 0.898, 0.250)
Rh (0.750, 0.398, 0.102)
Rh (0.898, 0.250, 0.602)

Total DFT energy (no corrections), eV/atom: -8.29
Magnetization, μB per formula unit: 0.00
Volume, A^3/atom: 15.58

Computed, not measured: a relaxed UCoRh2 crystal at the PBE-GGA level of DFT.

a = 3.956 Å, b = 3.956 Å, c = 3.948 Å
α = 90.00°, β = 90.00°, γ = 90.00°
Fractional coordinates of all 4 atoms:
U (0.000, 0.000, 0.000)
Co (0.500, 0.500, 0.000)
Rh (0.000, 0.500, 0.500)
Rh (0.500, 0.000, 0.500)

Total DFT energy (no corrections), eV/atom: -8.81
Distance to the lowest polymorph of the same formula, meV per atom: 0
Magnetization, μB per formula unit: 0.52
Volume, A^3/atom: 15.45

Computed, not measured: a relaxed UCoRh2 crystal at the PBE-GGA level of DFT.

a = 4.499 Å, b = 4.499 Å, c = 4.499 Å
α = 60.00°, β = 60.00°, γ = 60.00°
Fractional coordinates of all 4 atoms:
U (0.000, 0.000, 0.000)
Co (0.500, 0.500, 0.500)
Rh (0.250, 0.250, 0.250)
Rh (0.750, 0.750, 0.750)

Total DFT energy (no corrections), eV/atom: -8.49
Distance to the lowest polymorph of the same formula, meV per atom: 315
Magnetization, μB per formula unit: 0.23
Volume, A^3/atom: 16.10

Computed, not measured: a relaxed U2CoRh crystal at the PBE-GGA level of DFT.

a = 9.264 Å, b = 9.264 Å, c = 9.264 Å
α = 18.76°, β = 18.76°, γ = 18.76°
Fractional coordinates of all 4 atoms:
U (0.093, 0.093, 0.093)
U (0.907, 0.907, 0.907)
Co (0.500, 0.500, 0.500)
Rh (0.000, 0.000, 0.000)

Total DFT energy (no corrections), eV/atom: -9.06
Magnetization, μB per formula unit: 0.03
Volume, A^3/atom: 17.97

Computed, not measured: a relaxed UCo2Rh crystal at the PBE-GGA level of DFT.

a = 4.527 Å, b = 4.527 Å, c = 4.527 Å
α = 55.28°, β = 55.28°, γ = 55.28°
Fractional coordinates of all 4 atoms:
U (0.000, 0.000, 0.000)
Co (0.277, 0.277, 0.277)
Co (0.723, 0.723, 0.723)
Rh (0.500, 0.500, 0.500)

Total DFT energy (no corrections), eV/atom: -8.37
Magnetization, μB per formula unit: 0.00
Volume, A^3/atom: 14.60

Computed, not measured: a relaxed UCo4Rh crystal at the PBE-GGA level of DFT.

a = 4.855 Å, b = 4.855 Å, c = 4.855 Å
α = 60.00°, β = 60.00°, γ = 60.00°
Fractional coordinates of all 6 atoms:
U (0.000, 0.000, 0.000)
Co (0.129, 0.624, 0.624)
Co (0.624, 0.129, 0.624)
Co (0.624, 0.624, 0.129)
Co (0.624, 0.624, 0.624)
Rh (0.250, 0.250, 0.250)

Total DFT energy (no corrections), eV/atom: -7.97
Magnetization, μB per formula unit: 4.34
Volume, A^3/atom: 13.49

Computed, not measured: a relaxed UZnCoRh crystal at the PBE-GGA level of DFT.

a = 4.505 Å, b = 4.505 Å, c = 4.505 Å
α = 60.00°, β = 60.00°, γ = 60.00°
Fractional coordinates of all 4 atoms:
U (0.000, 0.000, 0.000)
Zn (0.500, 0.500, 0.500)
Co (0.250, 0.250, 0.250)
Rh (0.750, 0.750, 0.750)

Total DFT energy (no corrections), eV/atom: -6.98
Magnetization, μB per formula unit: 1.67
Volume, A^3/atom: 16.16